No. 1
Computed, not measured: crystalline ScMnRe2Pd at its relaxed geometry at the PBE level of DFT.

abc: 4.7654 4.6105 4.7654
angles: 90.00 90.00 90.00
Atoms (fractional coordinates):
Re1 0.5000 0.0000 0.0000
Re2 0.0000 0.0000 0.5000
Mn1 0.0000 0.5000 0.0000
Pd1 0.0000 0.0000 0.0000
Sc1 0.5000 0.5000 0.5000

Computed properties:
- Total DFT energy (no corrections): -7.55 eV per atom
- Total moment: 3.6 μB/f.u.
- ρ: 9.18 g cm⁻³
- E_form: 1.569 eV/atom

=====

No. 2
Computed, not measured: crystalline Ta2MnRePd at its relaxed geometry at the PBE level of DFT.

abc: 4.8209 4.5732 4.8209
angles: 90.00 90.00 90.00
Atoms (fractional coordinates):
Pd1 0.5000 0.5000 0.5000
Mn1 0.0000 0.5000 0.0000
Ta1 0.0000 0.0000 0.5000
Ta2 0.5000 0.0000 0.0000
Re1 0.0000 0.0000 0.0000

Computed properties:
- Total DFT energy (no corrections): -8.84 eV per atom
- Total moment: 2.6 μB/f.u.
- ρ: 11.08 g cm⁻³
- E_form: 1.264 eV/atom